# 1
Density functional theory data (GGA-PBE) for MgSc2S after structural relaxation.

Cell and atoms, written as extended XYZ:
```
4
Lattice="3.0549 -1.7613 0.0000 3.0549 1.7613 0.0000 -2.0182 0.0000 8.0092" Properties=species:S:1:pos:R:3 pbc="T T T"
Mg 0.0000 0.0000 0.0000
Sc 0.0137 0.0000 5.5077
Sc 4.0780 0.0000 2.5015
S 2.0458 0.0000 4.0046
```

Summary:
Energy above the lowest structure with this stoichiometry = 0.000 eV/atom
DFT total energy = -22.1 eV per cell
DOS(E_F) = 0.595 states/eV per atom
Formation energy from raw total energies = -941 meV/atom
Space-group type = C2/m



# 2
Density functional theory data (GGA-PBE) for MgSc2S2 after structural relaxation.

Cell and atoms, written as extended XYZ:
```
10
Lattice="7.1901 0.0000 0.0000 0.0000 7.1901 0.0000 0.0000 0.0000 3.3976" Properties=species:S:1:pos:R:3 pbc="T T T"
Mg 0.0000 0.0000 0.0000
Mg 3.5950 3.5950 0.0000
Sc 1.0634 2.5317 1.6988
Sc 2.5317 6.1267 1.6988
Sc 4.6584 1.0634 1.6988
Sc 6.1267 4.6584 1.6988
S 1.0677 4.6627 0.0000
S 2.5274 1.0677 0.0000
S 4.6627 6.1224 0.0000
S 6.1224 2.5274 0.0000
```

Summary:
DFT total energy = -57.0 eV per cell
DOS(E_F) = 1.134 states/eV per atom
Formation energy from raw total energies = -1201 meV/atom
Space-group type = P4/mbm



# 3
Density functional theory data (GGA-PBE) for MgSc2S4 after structural relaxation.

Cell and atoms, written as extended XYZ:
```
14
Lattice="0.0000 5.3490 5.3490 5.3490 0.0000 5.3490 5.3490 5.3490 0.0000" Properties=species:S:1:pos:R:3 pbc="T T T"
Mg 1.3373 1.3373 1.3373
Mg 9.3608 9.3608 9.3608
Sc 5.3490 2.6745 2.6745
Sc 2.6745 5.3490 2.6745
Sc 2.6745 2.6745 5.3490
Sc 5.3490 5.3490 5.3490
S 2.7590 2.7590 2.7590
S 5.2645 5.2645 2.7590
S 5.2645 2.7590 5.2645
S 7.9390 5.4335 5.4335
S 2.7590 5.2645 5.2645
S 5.4335 7.9390 5.4335
S 5.4335 5.4335 7.9390
S 7.9390 7.9390 7.9390
```

Summary:
Energy above the lowest structure with this stoichiometry = 0.000 eV/atom
DFT total energy = -86.6 eV per cell
DOS(E_F) = 0.000 states/eV per atom
Formation energy from raw total energies = -1788 meV/atom
Space-group type = Fd-3m



# 4
Density functional theory data (GGA-PBE) for MgScS3 after structural relaxation.

Cell and atoms, written as extended XYZ:
```
10
Lattice="3.2275 1.8634 5.8161 -3.2275 1.8634 5.8161 0.0000 -3.7267 5.8161" Properties=species:S:1:pos:R:3 pbc="T T T"
Mg 0.0000 0.0000 2.6416
Mg 0.0000 0.0000 14.8068
Sc 0.0000 0.0000 5.9652
Sc 0.0000 0.0000 11.4833
S -1.1965 -1.8343 7.2703
S -2.1868 0.1191 10.1781
S -0.9903 1.9534 7.2703
S 0.9903 -1.9534 10.1781
S 2.1868 -0.1191 7.2703
S 1.1965 1.8343 10.1781
```

Summary:
Energy above the lowest structure with this stoichiometry = 0.000 eV/atom
DFT total energy = -53.5 eV per cell
DOS(E_F) = 0.973 states/eV per atom
Formation energy from raw total energies = -1288 meV/atom
Space-group type = R-3